In2TcCl | PBEsol | relaxed

## Properties
**Uncorrected formation energy**: 534 meV/atom
**E_tot**: -4.2763 eV/atom
**Energy above the most stable polymorph in this dataset**: 429 meV/atom
**Density of states at the Fermi level**: 2.49 states/eV/f.u.

Unit cell a=4.0795 b=4.0795 c=9.2543 alpha=90.00 beta=90.00 gamma=90.00
Last column: nearest neighbours and their distance in Å.
Space group I-4m2 (No. 119)
Asymmetric unit:
In  0.0000  0.0000  0.0000 x2  4 Tc 2.88, 4 In 3.08, 4 Cl 3.08
In  0.0000  0.5000  0.2500 x2  4 Cl 2.88, 4 Tc 3.08, 4 In 3.08
Tc  0.0000  0.0000  0.5000 x2  8 In 2.88-3.08, 4 Cl 3.08
Cl  0.0000  0.5000  0.7500 x2  8 In 2.88-3.08, 4 Tc 3.08


In3TcCl | PBEsol | relaxed

## Properties
**Uncorrected formation energy**: 1112 meV/atom
**E_tot**: -3.3324 eV/atom
**Energy above the most stable polymorph in this dataset**: 916 meV/atom
**Density of states at the Fermi level**: 3.22 states/eV/f.u.

Unit cell a=5.1812 b=5.1812 c=5.1812 alpha=90.00 beta=90.00 gamma=90.00
Last column: nearest neighbours and their distance in Å.
Space group Pm-3m (No. 221)
Asymmetric unit:
In  0.0000  0.0000  0.5000 x3  2 Cl 2.59
Tc  0.5000  0.5000  0.5000 x1  12 In 3.66
Cl  0.0000  0.0000  0.0000 x1  6 In 2.59


In2TcCl | PBEsol | relaxed

## Properties
**Uncorrected formation energy**: 104 meV/atom
**E_tot**: -4.7055 eV/atom
**Energy above the most stable polymorph in this dataset**: 0 meV/atom
**Density of states at the Fermi level**: 2.74 states/eV/f.u.

Unit cell a=5.0898 b=5.0898 c=2.8969 alpha=90.00 beta=90.00 gamma=90.00
Last column: nearest neighbours and their distance in Å.
Space group P4mm (No. 99)
Asymmetric unit:
In  0.0000  0.5000  0.0000 x2  2 In 2.90, 4 Cl 2.93, 4 Tc 2.93
Tc  0.0000  0.0000  0.5004 x1  2 Tc 2.90, 8 In 2.93
Cl  0.5000  0.5000  0.4981 x1  2 Cl 2.90, 8 In 2.93


In2TcCl | PBEsol | relaxed

## Properties
**Uncorrected formation energy**: 475 meV/atom
**E_tot**: -4.3349 eV/atom
**Energy above the most stable polymorph in this dataset**: 371 meV/atom
**Density of states at the Fermi level**: 2.58 states/eV/f.u.

Unit cell a=3.4307 b=4.7692 c=9.2437 alpha=90.00 beta=90.00 gamma=90.00
Last column: nearest neighbours and their distance in Å.
Space group Immm (No. 71)
Asymmetric unit:
In  0.0000  0.0000  0.2357 x4  2 Tc 2.77, 4 In 2.95, 2 Cl 2.99
Tc  0.0000  0.5000  0.5000 x2  4 In 2.77, 4 Cl 2.94
Cl  0.0000  0.5000  0.0000 x2  4 Tc 2.94, 8 In 2.99-3.23


In3TcCl | PBEsol | relaxed

## Properties
**Uncorrected formation energy**: 196 meV/atom
**E_tot**: -4.2481 eV/atom
**Energy above the most stable polymorph in this dataset**: 0 meV/atom
**Density of states at the Fermi level**: 5.20 states/eV/f.u.

Unit cell a=5.1460 b=5.1460 c=5.1460 alpha=90.00 beta=90.00 gamma=90.00
Last column: nearest neighbours and their distance in Å.
Space group Pm-3m (No. 221)
Asymmetric unit:
In  0.0000  0.0000  0.5000 x3  2 Tc 2.57
Tc  0.0000  0.0000  0.0000 x1  6 In 2.57
Cl  0.5000  0.5000  0.5000 x1  12 In 3.64


In2TcCl2 | PBEsol | relaxed

## Properties
**Uncorrected formation energy**: 608 meV/atom
**E_tot**: -3.6414 eV/atom
**Density of states at the Fermi level**: 1.96 states/eV/f.u.

Unit cell a=3.8930 b=3.8930 c=16.5417 alpha=90.00 beta=90.00 gamma=90.00
Last column: nearest neighbours and their distance in Å.
Space group I4/mmm (No. 139)
Asymmetric unit:
In  0.0000  0.5000  0.2500 x4  4 In 2.75
Tc  0.0000  0.0000  0.0000 x2  8 Cl 3.13
Cl  0.0000  0.0000  0.4096 x4  1 Cl 2.99, 4 Tc 3.13, 4 In 3.28